# 1
This record from Alexandria via LeMat-Bulk describes an optimized crystal structure of FeAgSbTe2. The functional is PBE-GGA.

Values from the calculation:
- uncorrected formation energy (eV per atom) = 0.48
- magnetic moment (μB per cell) = 2.2
- energy above the lowest structure with this stoichiometry (meV per atom) = 0.0
- V (Å³/atom) = 26.43
- uncorrected energy (eV per atom) = -3.862

Cell and atoms, written as extended XYZ:
```
5
Lattice="5.202 0.000 0.000 0.000 5.202 0.000 0.000 0.000 4.884" Properties=species:S:1:pos:R:3 pbc="T T T"
Fe 0.000 0.000 0.000
Ag 2.601 2.601 2.442
Te 2.601 0.000 0.000
Te 0.000 2.601 0.000
Sb 0.000 0.000 2.442
```

# 2
This record from Alexandria via LeMat-Bulk describes an optimized crystal structure of TiFe2AgSb. The functional is PBE-GGA.

Values from the calculation:
- uncorrected formation energy (eV per atom) = 1.12
- magnetic moment (μB per cell) = 5.2
- V (Å³/atom) = 21.61
- uncorrected energy (eV per atom) = -5.240

Cell and atoms, written as extended XYZ:
```
5
Lattice="-2.901 3.248 -1.765 -1.964 -3.364 -2.964 -3.180 -1.049 3.296" Properties=species:S:1:pos:R:3 pbc="T T T"
Fe -1.450 1.624 -0.882
Fe -1.590 -0.524 1.648
Ti -0.982 -1.682 -1.482
Sb -4.022 -0.582 -0.716
Ag 0.000 0.000 0.000
```

# 3
This record from Alexandria via LeMat-Bulk describes an optimized crystal structure of YFeAgSb2. The functional is PBE-GGA.

Values from the calculation:
- uncorrected formation energy (eV per atom) = 0.05
- magnetic moment (μB per cell) = 2.4
- V (Å³/atom) = 24.40
- uncorrected energy (eV per atom) = -5.156

Cell and atoms, written as extended XYZ:
```
5
Lattice="4.991 0.000 0.000 0.000 4.898 0.000 0.000 0.000 4.991" Properties=species:S:1:pos:R:3 pbc="T T T"
Sb 2.495 0.000 0.000
Sb 0.000 0.000 2.495
Y 2.495 2.449 2.495
Ag 0.000 2.449 0.000
Fe 0.000 0.000 0.000
```

# 4
This record from Alexandria via LeMat-Bulk describes an optimized crystal structure of ScFeAg2. The functional is PBE-GGA.

Values from the calculation:
- magnetic moment (μB per cell) = 2.2
- formation enthalpy at 0 K (eV per atom) = 0.13
- V (Å³/atom) = 17.41
- uncorrected energy (eV per atom) = -4.999

Cell and atoms, written as extended XYZ:
```
4
Lattice="3.947 0.000 0.000 0.000 3.092 0.425 0.000 2.339 6.029" Properties=species:S:1:pos:R:3 pbc="T T T"
Fe 1.974 1.358 1.614
Ag 0.000 3.082 0.488
Ag 0.000 2.725 3.164
Sc 1.974 4.073 4.841
```

# 5
This record from Alexandria via LeMat-Bulk describes an optimized crystal structure of ScFeAg. The functional is PBE-GGA.

Values from the calculation:
- magnetic moment (μB per cell) = 1.8
- formation enthalpy at 0 K (eV per atom) = 0.42
- V (Å³/atom) = 19.54
- uncorrected energy (eV per atom) = -5.459

Cell and atoms, written as extended XYZ:
```
3
Lattice="-1.560 0.500 4.041 2.678 -0.322 3.426 1.024 3.555 2.308" Properties=species:S:1:pos:R:3 pbc="T T T"
Ag 1.071 1.866 4.888
Sc 0.000 0.000 0.000
Fe 0.535 0.933 2.444
```

# 6
This record from Alexandria via LeMat-Bulk describes an optimized crystal structure of ScFeAg. The functional is PBE-GGA.

Values from the calculation:
- magnetic moment (μB per cell) = 2.2
- formation enthalpy at 0 K (eV per atom) = 0.07
- V (Å³/atom) = 17.25
- uncorrected energy (eV per atom) = -5.810

Cell and atoms, written as extended XYZ:
```
3
Lattice="5.273 0.054 -0.105 3.158 4.223 0.105 -4.166 -2.237 2.337" Properties=species:S:1:pos:R:3 pbc="T T T"
Fe 2.811 1.426 0.000
Ag 8.347 4.234 0.000
Sc 5.705 2.894 0.000
```

# 7
This record from Alexandria via LeMat-Bulk describes an optimized crystal structure of Sc2FeAg. The functional is PBE-GGA.

Values from the calculation:
- magnetic moment (μB per cell) = 0.9
- formation enthalpy at 0 K (eV per atom) = 0.03
- V (Å³/atom) = 18.30
- uncorrected energy (eV per atom) = -5.968

Cell and atoms, written as extended XYZ:
```
4
Lattice="5.352 -0.073 0.000 2.404 4.782 0.000 -3.878 -2.355 2.840" Properties=species:S:1:pos:R:3 pbc="T T T"
Sc 0.000 0.000 0.000
Sc 1.202 2.391 1.420
Fe 2.676 -0.037 1.420
Ag 3.878 2.355 0.000
```

# 8
This record from Alexandria via LeMat-Bulk describes an optimized crystal structure of ScFeAg2. The functional is PBE-GGA.

Values from the calculation:
- magnetic moment (μB per cell) = 2.1
- formation enthalpy at 0 K (eV per atom) = 0.05
- V (Å³/atom) = 17.40
- uncorrected energy (eV per atom) = -5.076

Cell and atoms, written as extended XYZ:
```
4
Lattice="3.348 0.000 0.000 0.000 3.348 0.000 0.000 0.000 6.210" Properties=species:S:1:pos:R:3 pbc="T T T"
Ag 0.000 0.000 0.058
Ag 1.674 1.674 1.648
Sc 1.674 1.674 4.559
Fe 0.000 0.000 3.049
```

# 9
This record from Alexandria via LeMat-Bulk describes an optimized crystal structure of Sc2FeAg. The functional is PBE-GGA.

Values from the calculation:
- magnetic moment (μB per cell) = 1.6
- formation enthalpy at 0 K (eV per atom) = -0.02
- V (Å³/atom) = 18.70
- uncorrected energy (eV per atom) = -6.015

Cell and atoms, written as extended XYZ:
```
4
Lattice="-3.557 -3.953 0.485 -1.661 -4.725 -1.851 2.183 -3.309 2.866" Properties=species:S:1:pos:R:3 pbc="T T T"
Ag -1.475 -5.704 0.689
Sc -0.577 -3.028 0.533
Sc 1.889 -3.298 2.623
Fe -2.206 -9.258 1.270
```

# 10
This record from Alexandria via LeMat-Bulk describes an optimized crystal structure of ScFeAg2. The functional is PBE-GGA.

Values from the calculation:
- magnetic moment (μB per cell) = 2.3
- formation enthalpy at 0 K (eV per atom) = 0.17
- V (Å³/atom) = 17.37
- uncorrected energy (eV per atom) = -4.951

Cell and atoms, written as extended XYZ:
```
4
Lattice="-2.494 0.109 -4.324 4.596 -1.881 -0.514 -1.069 -2.763 0.547" Properties=species:S:1:pos:R:3 pbc="T T T"
Fe -1.782 -1.327 -1.888
Ag 1.051 -0.886 -2.419
Ag 0.000 0.000 0.000
Sc 1.763 -2.322 0.017
```

# 11
This record from Alexandria via LeMat-Bulk describes an optimized crystal structure of Sc2Fe2Ag. The functional is PBE-GGA.

Values from the calculation:
- magnetic moment (μB per cell) = 5.7
- formation enthalpy at 0 K (eV per atom) = -0.07
- V (Å³/atom) = 17.03
- uncorrected energy (eV per atom) = -6.553

Cell and atoms, written as extended XYZ:
```
10
Lattice="6.903 0.000 0.000 0.000 6.903 0.000 0.000 0.000 3.574" Properties=species:S:1:pos:R:3 pbc="T T T"
Fe 0.786 2.666 0.000
Fe 4.237 0.786 0.000
Fe 2.666 6.117 0.000
Fe 6.117 4.237 0.000
Sc 4.669 5.686 1.787
Sc 1.217 4.669 1.787
Sc 2.234 1.217 1.787
Sc 5.686 2.234 1.787
Ag 0.000 0.000 0.000
Ag 3.452 3.452 0.000
```

# 12
This record from Alexandria via LeMat-Bulk describes an optimized crystal structure of ScFeAg2. The functional is PBE-GGA.

Values from the calculation:
- magnetic moment (μB per cell) = 3.4
- formation enthalpy at 0 K (eV per atom) = 0.34
- V (Å³/atom) = 18.42
- uncorrected energy (eV per atom) = -4.783

Cell and atoms, written as extended XYZ:
```
8
Lattice="3.839 0.000 0.000 0.000 3.839 0.000 1.919 1.919 10.002" Properties=species:S:1:pos:R:3 pbc="T T T"
Sc 1.919 3.839 5.001
Sc 1.919 1.919 0.000
Fe 0.000 0.000 0.000
Fe 3.839 1.919 5.001
Ag 0.925 2.879 2.500
Ag 2.879 2.844 7.501
Ag 2.914 0.960 2.500
Ag 4.799 4.833 7.501
```

# 13
This record from Alexandria via LeMat-Bulk describes an optimized crystal structure of Sc2FeAg. The functional is PBE-GGA.

Values from the calculation:
- magnetic moment (μB per cell) = 0.2
- formation enthalpy at 0 K (eV per atom) = -0.09
- V (Å³/atom) = 17.66
- uncorrected energy (eV per atom) = -6.080

Cell and atoms, written as extended XYZ:
```
4
Lattice="-6.181 3.148 -2.344 2.743 -3.000 -2.182 -2.601 -1.992 -0.525" Properties=species:S:1:pos:R:3 pbc="T T T"
Sc 0.000 0.000 0.000
Sc -4.391 0.578 -1.434
Fe -1.719 0.074 -2.263
Ag 0.071 -2.496 -1.353
```

# 14
This record from Alexandria via LeMat-Bulk describes an optimized crystal structure of Sc6FeAg. The functional is PBE-GGA.

Values from the calculation:
- magnetic moment (μB per cell) = 0.0
- formation enthalpy at 0 K (eV per atom) = 0.08
- V (Å³/atom) = 23.14
- uncorrected energy (eV per atom) = -6.082

Cell and atoms, written as extended XYZ:
```
8
Lattice="6.098 0.372 0.000 1.840 6.058 0.000 0.920 3.029 5.104" Properties=species:S:1:pos:R:3 pbc="T T T"
Sc 2.187 1.692 0.000
Sc 5.751 4.738 0.000
Sc 3.835 7.432 3.160
Sc 2.916 4.403 1.944
Sc 5.943 5.057 3.160
Sc 5.023 2.028 1.944
Ag 0.000 0.000 0.000
Fe 3.969 3.215 0.000
```

# 15
This record from Alexandria via LeMat-Bulk describes an optimized crystal structure of ScFeAg2. The functional is PBE-GGA.

Values from the calculation:
- magnetic moment (μB per cell) = 2.1
- formation enthalpy at 0 K (eV per atom) = 0.10
- V (Å³/atom) = 17.09
- uncorrected energy (eV per atom) = -5.024

Cell and atoms, written as extended XYZ:
```
4
Lattice="-0.588 -4.439 2.322 -1.326 -3.571 -3.306 3.727 3.399 0.040" Properties=species:S:1:pos:R:3 pbc="T T T"
Sc 0.721 -2.090 -1.879
Ag -1.915 -8.010 -0.985
Ag 1.091 -2.522 0.935
Fe -0.957 -4.005 -0.492
```